# PBE MgTe2PbO6, optimized geometry
data_MgTe2PbO6
_space_group_name_H-M_alt 'C 1 2/c 1'
_space_group_IT_number 15
_space_group_name_Hall '-C 2yc'
_cell_length_a 10.309
_cell_length_b 13.869
_cell_length_c 6.361
_cell_angle_alpha 90.00
_cell_angle_beta 112.60
_cell_angle_gamma 90.00
loop_
_atom_site_label
_atom_site_type_symbol
_atom_site_fract_x
_atom_site_fract_y
_atom_site_fract_z
_atom_site_occupancy
Mg1 Mg 0.000 0.239 0.250 1
Te1 Te 0.188 0.111 0.642 1
Pb1 Pb 0.000 0.349 0.750 1
O1 O 0.080 0.227 0.600 1
O2 O 0.129 0.343 0.186 1
O3 O 0.169 0.117 0.339 1
# - DOS(E_F) (states/eV/atom) = 0.00
# - volume (Å³ per cell) = 840
# - uncorrected formation energy (eV per atom) = -1.36
# - VASP energy (eV per atom) = -5.4893